First-principles (PBE) data for a geometry-optimized Ba3Pa2Te2O5 structure, as listed in Alexandria via LeMat-Bulk.

a = 4.5978 Å, b = 4.5978 Å, c = 14.0061 Å
α = 99.45°, β = 99.45°, γ = 90.00°
Last column: nearest neighbours and their distance in Å.
Fractional positions:
1 O 0.5772 0.0772 0.1544  2 Pa 2.30
2 O 0.0772 0.5772 0.1544  2 Pa 2.30
3 O 0.5000 0.5000 0.0000  2 Pa 2.19
4 O 0.4228 0.9228 0.8456  2 Pa 2.30
5 O 0.9228 0.4228 0.8456  2 Pa 2.30
6 Pa 0.5805 0.5805 0.1610  5 O 2.19-2.30
7 Pa 0.4195 0.4195 0.8390  5 O 2.19-2.30
8 Te 0.3011 0.3011 0.6022  1 Pa 3.23, 4 Ba 3.37
9 Te 0.6989 0.6989 0.3978  1 Pa 3.23, 4 Ba 3.37
10 Ba 0.8332 0.8332 0.6664  4 O 3.35, 5 Te 3.37-3.66
11 Ba 0.1668 0.1668 0.3336  4 O 3.35, 5 Te 3.37-3.66
12 Ba 0.0000 0.0000 0.0000  12 O 3.12-3.25

First-principles (PBE) data for a geometry-optimized BaPaTeO5 structure, as listed in Alexandria via LeMat-Bulk.

a = 6.9067 Å, b = 6.9067 Å, c = 8.6294 Å
α = 116.06°, β = 116.06°, γ = 99.23°
Last column: nearest neighbours and their distance in Å.
Fractional positions:
1 O 0.3967 0.2804 0.2320  1 Te 1.97
2 O 0.0234 0.9766 0.2500  2 Pa 2.17
3 O 0.2933 0.9149 0.5807  1 Pa 2.11
4 O 0.6033 0.7196 0.7680  1 Te 1.97
5 O 0.9766 0.0234 0.7500  2 Pa 2.17
6 O 0.7067 0.0851 0.4193  1 Pa 2.11
7 O 0.9149 0.2933 0.0807  1 Pa 2.11
8 O 0.0851 0.7067 0.9193  1 Pa 2.11
9 O 0.2804 0.3967 0.7320  1 Te 1.97
10 O 0.7196 0.6033 0.2680  1 Te 1.97
11 Pa 0.0000 0.0000 0.0000  6 O 2.11-2.31
12 Pa 0.0000 0.0000 0.5000  6 O 2.11-2.31
13 Ba 0.6733 0.3267 0.7500  6 O 2.74-2.78
14 Ba 0.3267 0.6733 0.2500  6 O 2.74-2.78
15 Te 0.3055 0.6945 0.7500  2 O 1.97
16 Te 0.6945 0.3055 0.2500  2 O 1.97

First-principles (PBE) data for a geometry-optimized BaPa2TeO8 structure, as listed in Alexandria via LeMat-Bulk.

a = 5.2722 Å, b = 5.2814 Å, c = 7.2783 Å
α = 90.00°, β = 90.00°, γ = 87.73°
Last column: nearest neighbours and their distance in Å.
Fractional positions:
1 Te 0.0000 0.0000 0.0000  6 O 2.17-2.36
2 Pa 0.5000 0.5000 0.2460  6 O 2.13-2.30
3 Pa 0.5000 0.5000 0.7540  6 O 2.13-2.30
4 Ba 0.0000 0.0000 0.5000  6 O 2.57-2.61
5 O 0.6902 0.6903 0.0000  2 Pa 2.30, 1 Te 2.36
6 O 0.7891 0.2115 0.7899  1 Pa 2.13, 1 Te 2.17
7 O 0.7892 0.2115 0.2101  1 Pa 2.13, 1 Te 2.17
8 O 0.6620 0.6627 0.5000  2 Pa 2.22, 1 O 2.47
9 O 0.2108 0.7885 0.7899  1 Pa 2.13, 1 Te 2.17
10 O 0.2109 0.7885 0.2101  1 Pa 2.13, 1 Te 2.17
11 O 0.3098 0.3097 0.0000  2 Pa 2.30, 1 Te 2.36
12 O 0.3380 0.3373 0.5000  2 Pa 2.22, 1 O 2.47

First-principles (PBE) data for a geometry-optimized Ba2PaTe3O12 structure, as listed in Alexandria via LeMat-Bulk.

a = 7.8540 Å, b = 7.8540 Å, c = 7.8540 Å
α = 59.06°, β = 59.06°, γ = 59.06°
Last column: nearest neighbours and their distance in Å.
Fractional positions:
1 O 0.6866 0.0520 0.6866  2 Te 2.06
2 O 0.3335 0.9264 0.9264  1 Te 2.07, 1 Pa 2.18
3 O 0.9480 0.3134 0.3134  2 Te 2.06
4 O 0.6866 0.6866 0.0520  2 Te 2.06
5 O 0.9264 0.9264 0.3335  1 Te 2.07, 1 Pa 2.18
6 O 0.3134 0.3134 0.9480  2 Te 2.06
7 O 0.0736 0.0736 0.6665  1 Te 2.07, 1 Pa 2.18
8 O 0.3134 0.9480 0.3134  2 Te 2.06
9 O 0.0736 0.6665 0.0736  1 Te 2.07, 1 Pa 2.18
10 O 0.6665 0.0736 0.0736  1 Te 2.07, 1 Pa 2.18
11 O 0.9264 0.3335 0.9264  1 Te 2.07, 1 Pa 2.18
12 O 0.0520 0.6866 0.6866  2 Te 2.06
13 Ba 0.6891 0.6891 0.6891  6 O 2.76-2.83
14 Ba 0.3109 0.3109 0.3109  6 O 2.76-2.83
15 Te 0.0000 0.0000 0.5000  6 O 2.06-2.07
16 Te 0.0000 0.5000 0.0000  6 O 2.06-2.07
17 Te 0.5000 0.0000 0.0000  6 O 2.06-2.07
18 Pa 0.0000 0.0000 0.0000  6 O 2.18

Formation energy without anion corrections for every record listed, in sequence, given in eV per atom: -2.64 -2.53 -2.74 -1.88.